A geometry-optimized HfSI structure, computed with PBE.

The space group is R-3m (No. 166, hexagonal axes) and the conventional cell measures 4.3329, 4.3329 and 33.0488 Å, with angles of 90.00, 90.00 and 120.00 degrees. The asymmetric unit holds Hf at (0.0000, 0.0000, 0.1233), S at (0.0000, 0.0000, 0.1994) and I at (0.0000, 0.0000, 0.3973).

The value obtained for the magnetization is 0.00 μB/cell. Its total energy is -6.26 eV/atom. The formation energy (no corrections) is -1.0515 eV/atom.

A geometry-optimized HfS8I2 structure, computed with PBE.

The space group is P-1 (No. 2) and the conventional cell measures 5.986, 6.238 and 10.770 Å, with angles of 87.88, 89.26 and 67.69 degrees. The asymmetric unit holds Hf at (0.000, 0.000, 0.000), S at (0.078, 0.087, 0.245), S at (0.089, 0.567, 0.941), S at (0.225, 0.976, 0.798), S at (0.358, 0.856, 0.147) and I at (0.235, 0.539, 0.492).

The value obtained for the magnetization is 0.00 μB/cell. Its total energy is -4.40 eV/atom. The formation energy (no corrections) is -0.2139 eV/atom.

A geometry-optimized HfSI2 structure, computed with PBE.

The space group is Cm (No. 8) and the conventional cell measures 8.854, 3.693 and 8.642 Å, with angles of 90.00, 106.95 and 90.00 degrees. The asymmetric unit holds Hf at (0.000, 0.000, 0.000), S at (0.199, 0.500, 0.000), I at (0.003, 0.500, 0.271) and I at (0.349, 0.000, 0.729).

The value obtained for the magnetization is 0.00 μB/cell. Its total energy is -5.24 eV/atom. The formation energy (no corrections) is -0.9410 eV/atom.

A geometry-optimized HfSI structure, computed with PBE.

The space group is P2_1/c (No. 14) and the conventional cell measures 6.649, 6.445 and 9.105 Å, with angles of 90.00, 123.46 and 90.00 degrees. The asymmetric unit holds Hf at (0.083, 0.234, 0.106), S at (0.093, 0.079, 0.366) and I at (0.395, 0.596, 0.635).

The value obtained for the magnetization is 0.00 μB/cell. Its total energy is -6.15 eV/atom. The formation energy (no corrections) is -0.9361 eV/atom.

A geometry-optimized Hf3SI structure, computed with PBE.

The space group is Pm-3m (No. 221) and the conventional cell measures 4.849, 4.849 and 4.849 Å, with angles of 90.00, 90.00 and 90.00 degrees. The asymmetric unit holds Hf at (0.000, 0.000, 0.500), S at (0.000, 0.000, 0.000) and I at (0.500, 0.500, 0.500).

The value obtained for the magnetization is 0.00 μB/cell. Its total energy is -7.03 eV/atom. The formation energy (no corrections) is 0.0759 eV/atom.

A geometry-optimized HfSI2 structure, computed with PBE.

The space group is Fm-3m (No. 225) and the conventional cell measures 7.239, 7.239 and 7.239 Å, with angles of 90.00, 90.00 and 90.00 degrees. The asymmetric unit holds Hf at (0.000, 0.000, 0.000), S at (0.000, 0.000, 0.500) and I at (0.250, 0.250, 0.250).

The value obtained for the magnetization is 0.00 μB/cell. Its total energy is -4.19 eV/atom. The formation energy (no corrections) is 0.1054 eV/atom.

A geometry-optimized HfS3I structure, computed with PBE.

The space group is Pm-3m (No. 221) and the conventional cell measures 4.976, 4.976 and 4.976 Å, with angles of 90.00, 90.00 and 90.00 degrees. The asymmetric unit holds Hf at (0.000, 0.000, 0.000), S at (0.000, 0.000, 0.500) and I at (0.500, 0.500, 0.500).

The value obtained for the magnetization is 0.00 μB/cell. Its total energy is -5.11 eV/atom. The formation energy (no corrections) is -0.3308 eV/atom.

A geometry-optimized HfS3I structure, computed with PBE.

The space group is Pm-3m (No. 221) and the conventional cell measures 5.011, 5.011 and 5.011 Å, with angles of 90.00, 90.00 and 90.00 degrees. The asymmetric unit holds Hf at (0.000, 0.000, 0.000), S at (0.000, 0.500, 0.500) and I at (0.500, 0.500, 0.500).

The value obtained for the magnetization is 1.22 μB/cell. Its total energy is -3.76 eV/atom. The formation energy (no corrections) is 1.0170 eV/atom.